Density functional theory data (GGA-PBE) for a geometry-optimized SrCdGa2Rh structure.

Properties
Its density of states at the Fermi level is 3.648 states/eV/cell. The calculated formation energy comes out at -2.0 eV/f.u. As for the volume: 24.255 A^3/atom.

a b c (Å): 4.819 4.819 5.223
angles (deg): 90.00 90.00 90.00
Fractional positions:
Sr: 0.500 0.500 0.500
Rh: 0.000 0.000 0.000
Ga: 0.000 0.500 0.000
Ga: 0.500 0.000 0.000
Cd: 0.000 0.000 0.500